{"formula": "Na2Li3NpO6", "functional": "GGA-PBE", "state": "optimized geometry", "lattice_angstrom": [[2.807, -5.011, 0.000], [2.807, 5.011, 0.000], [-1.836, 0.000, 5.031]], "species": ["Na", "Na", "Li", "Li", "Li", "Np", "O", "O", "O", "O", "O", "O"], "frac_coords": [[0.170, 0.830, 0.000], [0.830, 0.170, 0.000], [0.000, 0.000, 0.500], [0.358, 0.642, 0.500], [0.642, 0.358, 0.500], [0.500, 0.500, 0.000], [0.140, 0.422, 0.753], [0.282, 0.282, 0.235], [0.422, 0.140, 0.753], [0.578, 0.860, 0.247], [0.718, 0.718, 0.765], [0.860, 0.578, 0.247]], "spacegroup": "C2/m", "magnetic_moment_mub_per_cell": 0.00, "crystal_system": "monoclinic", "energy_ev_per_atom": -6.447, "raw_formation_energy_ev_per_atom": -2.192}